(1)
Density functional theory data (GGA-PBEsol) for a geometry-optimized Cs3SeF structure.

Structure (POSCAR):
```
Cs3SeF
1.0
5.637 0.000 0.000
0.000 5.637 0.000
0.000 0.000 5.637
F Se Cs
1 1 3
Cartesian
0.000 0.000 0.000 F
2.818 2.818 2.818 Se
0.000 2.818 0.000 Cs
2.818 0.000 0.000 Cs
0.000 0.000 2.818 Cs
```

Summary:
- ΔE to the lowest computed polymorph (kJ/mol of formula units) = 0
- DFT total energy (eV per atom) = -3.403

(2)
Density functional theory data (GGA-PBEsol) for a geometry-optimized ZnHgOs2 structure.

Structure (POSCAR):
```
ZnHgOs2
1.0
4.050 0.000 0.000
-2.025 4.204 -0.013
0.000 1.962 3.543
Hg Os Zn
1 2 1
Cartesian
2.025 3.574 2.651 Hg
0.000 0.000 0.000 Os
0.000 2.593 0.879 Os
2.025 0.981 1.772 Zn
```

Summary:
- ΔE to the lowest computed polymorph (kJ/mol of formula units) = 111
- formation energy from the elements (eV per atom) = 0.692
- DFT total energy (eV per atom) = -5.954